[1]
The following is a PBE calculation of a relaxed Tb4CePm6 crystal, from Alexandria.

Calculated values
Energy of formation from the pure elements = 0.14 eV/atom

a b c (Å): 5.8823 9.6458 25.9134
angles (deg): 90.00 90.00 90.00
With the nearest neighbours (Å) after each atom.
Space group Cmcm (No. 63)
Asymmetric unit:
Tb: 0.0000 0.0508 0.1232 [8 per cell]  6 Pm 3.23-3.55, 1 Tb 3.57
Tb: 0.0000 0.3515 0.0429 [8 per cell]  8 Pm 3.45-3.77, 2 Tb 3.57-3.63
Ce: 0.0000 0.2843 0.7500 [4 per cell]  3 Pm 3.26-3.33
Pm: 0.0000 0.0000 0.0000 [4 per cell]  8 Tb 3.23-3.57
Pm: 0.0000 0.0539 0.2500 [4 per cell]  3 Ce 3.26-3.33, 2 Tb 3.29, 2 Pm 3.65
Pm: 0.0000 0.2953 0.6011 [8 per cell]  6 Tb 3.34-3.73, 1 Pm 3.72
Pm: 0.0000 0.3841 0.1810 [8 per cell]  4 Tb 3.55-3.67, 5 Pm 3.58-3.81, 3 Ce 3.66-3.81

***

[2]
The following is a PBE calculation of a relaxed Al3Pd2Au3 crystal, from Alexandria.

Calculated values
Energy of formation from the pure elements = -0.46 eV/atom

a b c (Å): 3.8542 4.1251 16.3030
angles (deg): 90.00 90.00 90.00
With the nearest neighbours (Å) after each atom.
Space group Immm (No. 71)
Asymmetric unit:
Al: 0.0000 0.0000 0.0000 [2 per cell]  8 Au 2.75-2.82
Al: 0.0000 0.5000 0.1460 [4 per cell]  4 Pd 2.55-2.68, 4 Au 2.85
Pd: 0.0000 0.0000 0.2514 [4 per cell]  4 Al 2.55-2.68, 4 Pd 2.82
Au: 0.0000 0.0000 0.5000 [2 per cell]  8 Al 2.82-3.06, 4 Au 2.84
Au: 0.0000 0.5000 0.3801 [4 per cell]  6 Al 2.75-2.85, 2 Au 2.84, 4 Pd 2.88-2.94